This record from the Alexandria database describes crystalline U2Se2O at its relaxed geometry. The functional is GGA-PBE.

a = 6.465 Å, b = 11.454 Å, c = 5.750 Å
α = 90.00°, β = 90.00°, γ = 90.00°
Space group Ibam (No. 72)
Symmetry-distinct sites (fractional):
U: 0.211 0.103 0.000 (multiplicity 8)
Se: 0.164 0.354 0.000 (multiplicity 8)
O: 0.000 0.000 0.250 (multiplicity 4)

## Properties
- ΔE_f (raw): -1729 meV per atom
- D(E_F): 1.950 states/eV/atom
- Crystal system: orthorhombic
- V: 21.3 Å³ per atom
- Distance to the lowest polymorph of the same formula: 0.000 eV/atom

=====

This record from the Alexandria database describes crystalline SiTePb2 at its relaxed geometry. The functional is GGA-PBE.

a = 3.745 Å, b = 5.485 Å, c = 10.792 Å
α = 90.00°, β = 90.00°, γ = 90.00°
Space group Imm2 (No. 44)
Symmetry-distinct sites (fractional):
Si: 0.000 0.000 0.000 (multiplicity 2)
Te: 0.000 0.500 0.689 (multiplicity 2)
Pb: 0.000 0.000 0.483 (multiplicity 2)
Pb: 0.000 0.500 0.273 (multiplicity 2)

## Properties
- ΔE_f (raw): 206 meV per atom
- D(E_F): 0.715 states/eV/atom
- Crystal system: orthorhombic
- V: 27.7 Å³ per atom
- Distance to the lowest polymorph of the same formula: 0.038 eV/atom

=====

This record from the Alexandria database describes crystalline Pa2CuS at its relaxed geometry. The functional is GGA-PBE.

a = 3.3224 Å, b = 3.3224 Å, c = 28.6809 Å
α = 90.00°, β = 90.00°, γ = 120.00°
Space group R-3m (No. 166, hexagonal axes)
Symmetry-distinct sites (fractional):
Pa: 0.0000 0.0000 0.0990 (multiplicity 6)
Cu: 0.0000 0.0000 0.0000 (multiplicity 3)
S: 0.0000 0.0000 0.5000 (multiplicity 3)

## Properties
- ΔE_f (raw): -37 meV per atom
- D(E_F): 1.558 states/eV/atom
- Crystal system: trigonal
- V: 22.8 Å³ per atom

=====

This record from the Alexandria database describes crystalline CeCd6O8 at its relaxed geometry. The functional is GGA-PBE.

a = 9.606 Å, b = 9.606 Å, c = 9.606 Å
α = 90.00°, β = 90.00°, γ = 90.00°
Space group Fm-3m (No. 225)
Symmetry-distinct sites (fractional):
Ce: 0.000 0.000 0.000 (multiplicity 4)
Cd: 0.000 0.250 0.250 (multiplicity 24)
O: 0.000 0.000 0.236 (multiplicity 24)
O: 0.250 0.250 0.250 (multiplicity 8)

## Properties
- ΔE_f (raw): -1393 meV per atom
- D(E_F): 0.267 states/eV/atom
- Crystal system: cubic
- V: 14.8 Å³ per atom

=====

This record from the Alexandria database describes crystalline LaFeAs2 at its relaxed geometry. The functional is GGA-PBE.

a = 3.9460 Å, b = 3.9460 Å, c = 17.8509 Å
α = 90.00°, β = 90.00°, γ = 120.00°
Space group R3m (No. 160, hexagonal axes)
Symmetry-distinct sites (fractional):
La: 0.0000 0.0000 0.0000 (multiplicity 3)
Fe: 0.0000 0.0000 0.1824 (multiplicity 3)
As: 0.0000 0.0000 0.5594 (multiplicity 3)
As: 0.0000 0.0000 0.7865 (multiplicity 3)

## Properties
- D(E_F): 0.687 states/eV/atom
- Crystal system: trigonal
- DFT formation energy: -0.63 eV per atom
- V: 20.1 Å³ per atom
- Distance to the lowest polymorph of the same formula: 0.043 eV/atom

=====

This record from the Alexandria database describes crystalline AcTb3Au2 at its relaxed geometry. The functional is GGA-PBE.

a = 5.041 Å, b = 9.144 Å, c = 7.474 Å
α = 90.00°, β = 90.00°, γ = 90.00°
Space group Pmc2_1 (No. 26)
Symmetry-distinct sites (fractional):
Ac: 0.000 0.077 0.000 (multiplicity 2)
Tb: 0.000 0.339 0.634 (multiplicity 2)
Tb: 0.500 0.180 0.341 (multiplicity 2)
Tb: 0.500 0.429 0.971 (multiplicity 2)
Au: 0.000 0.357 0.246 (multiplicity 2)
Au: 0.500 0.161 0.732 (multiplicity 2)

## Properties
- D(E_F): 1.117 states/eV/atom
- Crystal system: orthorhombic
- DFT formation energy: -0.57 eV per atom
- V: 28.7 Å³ per atom
- Distance to the lowest polymorph of the same formula: 0.000 eV/atom

=====

This record from the Alexandria database describes crystalline Cs3In3Sn8 at its relaxed geometry. The functional is GGA-PBE.

a = 4.743 Å, b = 14.440 Å, c = 14.454 Å
α = 90.00°, β = 90.00°, γ = 90.00°
Space group Immm (No. 71)
Symmetry-distinct sites (fractional):
Cs: 0.000 0.000 0.000 (multiplicity 2)
Cs: 0.000 0.270 0.000 (multiplicity 4)
In: 0.000 0.000 0.500 (multiplicity 2)
In: 0.000 0.500 0.145 (multiplicity 4)
Sn: 0.000 0.160 0.297 (multiplicity 8)
Sn: 0.000 0.377 0.325 (multiplicity 8)

## Properties
- D(E_F): 0.378 states/eV/atom
- Crystal system: orthorhombic
- DFT formation energy: -0.12 eV per atom
- V: 35.4 Å³ per atom
- Distance to the lowest polymorph of the same formula: 0.000 eV/atom

=====

This record from the Alexandria database describes crystalline ErTm8Sn2 at its relaxed geometry. The functional is GGA-PBE.

a = 8.661 Å, b = 14.798 Å, c = 5.646 Å
α = 90.00°, β = 115.38°, γ = 90.00°
Space group C2/m (No. 12)
Symmetry-distinct sites (fractional):
Er: 0.000 0.000 0.000 (multiplicity 2)
Tm: 0.000 0.219 0.000 (multiplicity 4)
Tm: 0.094 0.500 0.799 (multiplicity 4)
Tm: 0.209 0.114 0.617 (multiplicity 8)
Sn: 0.000 0.305 0.500 (multiplicity 4)

## Properties
- D(E_F): 1.440 states/eV/atom
- Crystal system: monoclinic
- DFT formation energy: -0.13 eV per atom
- V: 29.7 Å³ per atom

=====

This record from the Alexandria database describes crystalline TbDyU2P4 at its relaxed geometry. The functional is GGA-PBE.

a = 6.844 Å, b = 3.953 Å, c = 6.959 Å
α = 90.00°, β = 109.16°, γ = 90.00°
Space group P2/m (No. 10)
Symmetry-distinct sites (fractional):
Tb: 0.000 0.000 0.000 (multiplicity 1)
Dy: 0.500 0.500 0.000 (multiplicity 1)
U: 0.000 0.500 0.500 (multiplicity 1)
U: 0.500 0.000 0.500 (multiplicity 1)
P: 0.249 0.000 0.744 (multiplicity 2)
P: 0.253 0.500 0.256 (multiplicity 2)

## Properties
- D(E_F): 1.083 states/eV/atom
- Crystal system: monoclinic
- DFT formation energy: -1.29 eV per atom
- V: 22.2 Å³ per atom

=====

This record from the Alexandria database describes crystalline VBiSbI2 at its relaxed geometry. The functional is GGA-PBE.

a = 5.334 Å, b = 5.334 Å, c = 5.610 Å
α = 90.00°, β = 90.00°, γ = 90.00°
Space group P4/mmm (No. 123)
Symmetry-distinct sites (fractional):
V: 0.000 0.000 0.000 (multiplicity 1)
Bi: 0.500 0.500 0.500 (multiplicity 1)
Sb: 0.000 0.000 0.500 (multiplicity 1)
I: 0.000 0.500 0.000 (multiplicity 2)

## Properties
- ΔE_f (raw): 309 meV per atom
- D(E_F): 0.859 states/eV/atom
- Crystal system: tetragonal
- V: 31.9 Å³ per atom
- Distance to the lowest polymorph of the same formula: 0.000 eV/atom

=====

This record from the Alexandria database describes crystalline Mg2OsRh2 at its relaxed geometry. The functional is GGA-PBE.

a = 6.420 Å, b = 6.420 Å, c = 4.149 Å
α = 90.00°, β = 90.00°, γ = 90.00°
Space group P4/mbm (No. 127)
Symmetry-distinct sites (fractional):
Mg: 0.172 0.328 0.000 (multiplicity 4)
Os: 0.000 0.000 0.500 (multiplicity 2)
Rh: 0.139 0.639 0.500 (multiplicity 4)

## Properties
- D(E_F): 1.009 states/eV/atom
- Crystal system: tetragonal
- DFT formation energy: 0.03 eV per atom
- V: 17.1 Å³ per atom

=====

This record from the Alexandria database describes crystalline Tm2Hf3ScN6 at its relaxed geometry. The functional is GGA-PBE.

a = 14.267 Å, b = 3.255 Å, c = 6.540 Å
α = 90.00°, β = 103.74°, γ = 90.00°
Space group C2/m (No. 12)
Symmetry-distinct sites (fractional):
Tm: 0.165 0.000 0.331 (multiplicity 4)
Hf: 0.000 0.500 0.500 (multiplicity 2)
Hf: 0.165 0.000 0.835 (multiplicity 4)
Sc: 0.000 0.500 0.000 (multiplicity 2)
N: 0.004 0.000 0.747 (multiplicity 4)
N: 0.162 0.500 0.593 (multiplicity 4)
N: 0.168 0.500 0.072 (multiplicity 4)

## Properties
- ΔE_f (raw): -1863 meV per atom
- D(E_F): 0.228 states/eV/atom
- Crystal system: monoclinic
- V: 12.3 Å³ per atom

=====

What is the formula in the fifth record? LaFeAs2

=====

Look up the V of the tenth one. 31.9 Å³ per atom

=====

Look up the D(E_F) of the tenth one. 0.859 states/eV/atom